Rb2HgBr6N: optimized geometry, PBE-GGA.

Cell: 7.515 7.515 7.515 Å, 120.52 120.52 89.09°
Fractional positions:
1 Rb 0.250 0.750 0.500
2 Rb 0.750 0.250 0.500
3 Hg 0.000 0.000 0.000
4 Br 0.265 0.265 0.530
5 Br 0.265 0.735 0.000
6 Br 0.273 0.273 0.000
7 Br 0.727 0.727 0.000
8 Br 0.735 0.265 0.000
9 Br 0.735 0.735 0.470
10 N 0.500 0.500 0.000

energy relative to the elements, uncorrected	-0.365	eV per atom